No. 1
The following is a DFT calculation (PBE) of an optimized crystal structure of Cs2Sr3HoF12.

Computed properties:
ΔE_f (raw) in eV/atom: -3.4186
Total magnetic moment in μB/cell: 1.39

Cell lengths 8.681, 8.681, 8.681 Å; angles 59.01, 59.01, 59.01 degrees
Last column: magnetic moment on the atom in μB.
Fractional positions:
1 Cs 0.602 0.602 0.602  0.00
2 Cs 0.398 0.398 0.398  0.00
3 Sr 0.500 0.000 0.000  0.00
4 Sr 0.000 0.500 0.000  0.00
5 Sr 0.000 0.000 0.500  0.00
6 Ho 0.000 0.000 0.000  -0.01
7 F 0.343 0.343 0.908  0.14
8 F 0.940 0.940 0.297  0.06
9 F 0.297 0.940 0.940  0.06
10 F 0.908 0.343 0.343  0.14
11 F 0.940 0.297 0.940  0.06
12 F 0.343 0.908 0.343  0.14
13 F 0.657 0.657 0.092  0.14
14 F 0.060 0.060 0.703  0.06
15 F 0.703 0.060 0.060  0.06
16 F 0.092 0.657 0.657  0.14
17 F 0.060 0.703 0.060  0.06
18 F 0.657 0.092 0.657  0.14



No. 2
The following is a DFT calculation (PBE) of an optimized crystal structure of CsSrHoF6.

Computed properties:
ΔE_f (raw) in eV/atom: -3.7269
Total magnetic moment in μB/cell: 0.30

Cell lengths 8.212, 8.231, 8.118 Å; angles 120.46, 120.39, 90.00 degrees
Last column: magnetic moment on the atom in μB.
Fractional positions:
1 Cs 0.858 0.608 0.715  0.00
2 Cs 0.142 0.392 0.285  0.00
3 Sr 0.500 0.000 0.500  0.00
4 Sr 0.000 0.000 0.500  0.00
5 Ho 0.500 0.500 0.000  0.00
6 Ho 0.500 0.000 0.000  0.00
7 F 0.562 0.812 0.125  0.00
8 F 0.856 0.106 0.712  0.09
9 F 0.820 0.149 0.268  0.01
10 F 0.448 0.618 0.268  0.01
11 F 0.448 0.149 0.268  0.01
12 F 0.820 0.618 0.268  0.01
13 F 0.438 0.188 0.875  0.00
14 F 0.144 0.894 0.288  0.09
15 F 0.180 0.851 0.732  0.01
16 F 0.552 0.382 0.732  0.01
17 F 0.552 0.851 0.732  0.01
18 F 0.180 0.382 0.732  0.01



No. 3
The following is a DFT calculation (PBE) of an optimized crystal structure of Cs2HoTlF6.

Computed properties:
ΔE_f (raw) in eV/atom: -3.1410
Total magnetic moment in μB/cell: 0.00

Cell lengths 6.907, 6.907, 6.907 Å; angles 60.00, 60.00, 60.00 degrees
Fractional positions:
1 Cs 0.750 0.750 0.750
2 Cs 0.250 0.250 0.250
3 Ho 0.000 0.000 0.000
4 Tl 0.500 0.500 0.500
5 F 0.223 0.777 0.777
6 F 0.223 0.777 0.223
7 F 0.223 0.223 0.777
8 F 0.777 0.777 0.223
9 F 0.777 0.223 0.223
10 F 0.777 0.223 0.777